# 1
Computed, not measured: a relaxed structure of Y2ReSi at the PBE level of DFT.

For the formation energy without anion corrections, the calculation gives -0.098 eV per atom. The total energy comes out at -7.80 eV per atom. The symmetry is No. 65.

Cell lengths 4.7429, 4.7429, 3.7005 Å; angles 90.00, 90.00, 90.08 degrees
Fractional coordinates of all 4 atoms:
Re: 0.5000 0.0000 0.5000
Y: 0.0000 0.0000 0.0000
Y: 0.5000 0.5000 0.0000
Si: 0.0000 0.5000 0.5000

# 2
Computed, not measured: a relaxed structure of YRe3Si at the PBE level of DFT.

For the formation energy without anion corrections, the calculation gives 3.296 eV per atom. As for the energy relative to the lowest polymorph listed for this composition: 3.452 eV per atom. The total energy comes out at -6.55 eV per atom. The symmetry is No. 221.

Cell lengths 4.8434, 4.8434, 4.8434 Å; angles 90.00, 90.00, 90.00 degrees
Fractional coordinates of all 5 atoms:
Re: 0.0000 0.0000 0.5000
Re: 0.0000 0.5000 0.0000
Re: 0.5000 0.0000 0.0000
Y: 0.0000 0.0000 0.0000
Si: 0.5000 0.5000 0.5000